Record 1
A plane-wave DFT calculation with PBE was carried out for a geometry-optimized CsBeNbSe3 structure.

Lattice parameters (Å, degrees): 8.3873 8.3873 10.2622 90.00 90.00 154.25
Fractional coordinates of all 12 atoms:
1 Cs 0.2381 0.7619 0.7500
2 Cs 0.7619 0.2381 0.2500
3 Be 0.0359 0.9641 0.2500
4 Be 0.9641 0.0359 0.7500
5 Nb 0.5000 0.5000 0.0000
6 Nb 0.5000 0.5000 0.5000
7 Se 0.1107 0.8893 0.0659
8 Se 0.1107 0.8893 0.4341
9 Se 0.4498 0.5502 0.2500
10 Se 0.5502 0.4498 0.7500
11 Se 0.8893 0.1107 0.5659
12 Se 0.8893 0.1107 0.9341

Properties
Crystal system: orthorhombic
Symmetry: Cmcm, No. 63

Record 2
A plane-wave DFT calculation with PBE was carried out for a geometry-optimized CsNdBe structure.

Lattice parameters (Å, degrees): 5.1121 5.1121 5.1121 60.00 60.00 60.00
Fractional coordinates of all 3 atoms:
1 Cs 0.0000 0.0000 0.0000
2 Nd 0.2500 0.2500 0.2500
3 Be 0.7500 0.7500 0.7500

Properties
Crystal system: cubic
Symmetry: F-43m, No. 216

Record 3
A plane-wave DFT calculation with PBE was carried out for a geometry-optimized CsNdBeS3 structure.

Lattice parameters (Å, degrees): 8.0104 8.0104 10.8306 90.00 90.00 150.88
Fractional coordinates of all 12 atoms:
1 Cs 0.2388 0.7612 0.7500
2 Cs 0.7612 0.2388 0.2500
3 Nd 0.5000 0.5000 0.0000
4 Nd 0.5000 0.5000 0.5000
5 Be 0.0415 0.9585 0.2500
6 Be 0.9585 0.0415 0.7500
7 S 0.1118 0.8882 0.0864
8 S 0.1118 0.8882 0.4136
9 S 0.4547 0.5453 0.2500
10 S 0.5453 0.4547 0.7500
11 S 0.8882 0.1118 0.5864
12 S 0.8882 0.1118 0.9136

Properties
Crystal system: orthorhombic
Symmetry: Cmcm, No. 63

no.,calculated total energy (eV per cell)
1,-59.94
2,-5.02
3,-61.70